Entry 1:
## MgReRu (GGA-PBEsol)

Data for crystalline MgReRu at its relaxed geometry.

Values from the calculation:
Calculated volume   17.2 A^3/atom
Crystal system   cubic
DFT total energy   -22.96 eV for the cell shown
Formation enthalpy at 0 K   0.754 eV/atom
Offset from the most stable computed form   582 meV/atom

Cell: 4.177 4.177 4.177 Å, 60.00 60.00 60.00°
Atoms (fractional coordinates):
Mg 0.500 0.500 0.500
Re 0.250 0.250 0.250
Ru 0.000 0.000 0.000



Entry 2:
## SrMg2ReRu (GGA-PBEsol)

Data for crystalline SrMg2ReRu at its relaxed geometry.

Values from the calculation:
Calculated volume   23.3 A^3/atom
Crystal system   tetragonal
DFT total energy   -25.97 eV for the cell shown
Formation enthalpy at 0 K   0.562 eV/atom

Cell: 4.703 4.976 4.976 Å, 90.00 90.00 90.00°
Last column: magnetic moment on the atom in μB.
Atoms (fractional coordinates):
Re 0.500 0.000 0.000  0.91
Mg 0.000 0.000 0.500  0.00
Mg 0.000 0.500 0.000  0.00
Sr 0.500 0.500 0.500  -0.01
Ru 0.000 0.000 0.000  0.12



Entry 3:
## Mg3ReS (GGA-PBEsol)

Data for crystalline Mg3ReS at its relaxed geometry.

Values from the calculation:
Calculated volume   25.4 A^3/atom
Crystal system   cubic
DFT total energy   -16.96 eV for the cell shown

Cell: 5.025 5.025 5.025 Å, 90.00 90.00 90.00°
Last column: magnetic moment on the atom in μB.
Atoms (fractional coordinates):
Re 0.000 0.000 0.000  1.18
S 0.500 0.500 0.500  0.15
Mg 0.000 0.500 0.000  0.00
Mg 0.000 0.000 0.500  0.00
Mg 0.500 0.000 0.000  0.00



Entry 4:
## MgRe2Sb (GGA-PBEsol)

Data for crystalline MgRe2Sb at its relaxed geometry.

Values from the calculation:
Calculated volume   16.5 A^3/atom
Crystal system   tetragonal
DFT total energy   -30.26 eV for the cell shown
Offset from the most stable computed form   199 meV/atom

Cell: 3.226 3.226 6.333 Å, 90.00 90.00 90.00°
Atoms (fractional coordinates):
Mg 0.500 0.500 0.500
Re 0.000 0.000 0.765
Re 0.000 0.000 0.235
Sb 0.500 0.500 0.000



Entry 5:
## MgRe2Sb (GGA-PBEsol)

Data for crystalline MgRe2Sb at its relaxed geometry.

Values from the calculation:
Calculated volume   17.3 A^3/atom
Crystal system   monoclinic
DFT total energy   -30.61 eV for the cell shown
Offset from the most stable computed form   112 meV/atom

Cell: 2.872 4.549 5.301 Å, 90.00 93.93 90.00°
Atoms (fractional coordinates):
Mg 0.000 0.500 0.500
Re 0.650 0.000 0.720
Re 0.350 0.000 0.280
Sb 0.500 0.500 0.000



Entry 6:
## MgRe2Sb (GGA-PBEsol)

Data for crystalline MgRe2Sb at its relaxed geometry.

Values from the calculation:
Calculated volume   16.9 A^3/atom
Crystal system   monoclinic
DFT total energy   -31.05 eV for the cell shown
Offset from the most stable computed form   0 meV/atom

Cell: 2.955 4.431 5.341 Å, 90.00 104.75 90.00°
Atoms (fractional coordinates):
Mg 0.271 0.500 0.722
Re 0.963 0.000 0.047
Re 0.587 0.500 0.220
Sb 0.680 0.000 0.512



Entry 7:
## MgRe2Sb (GGA-PBEsol)

Data for crystalline MgRe2Sb at its relaxed geometry.

Values from the calculation:
Calculated volume   17.1 A^3/atom
Crystal system   orthorhombic
DFT total energy   -30.16 eV for the cell shown
Offset from the most stable computed form   224 meV/atom

Cell: 2.921 4.164 5.611 Å, 90.00 90.00 90.00°
Atoms (fractional coordinates):
Mg 0.500 0.500 0.500
Re 0.000 0.000 0.715
Re 0.000 0.000 0.285
Sb 0.500 0.500 0.000



Entry 8:
## MgTlRe2Sb (GGA-PBEsol)

Data for crystalline MgTlRe2Sb at its relaxed geometry.

Values from the calculation:
Calculated volume   24.9 A^3/atom
Crystal system   tetragonal
DFT total energy   -26.17 eV for the cell shown

Cell: 4.932 4.932 5.109 Å, 90.00 90.00 90.00°
Last column: magnetic moment on the atom in μB.
Atoms (fractional coordinates):
Re 0.000 0.500 0.000  1.27
Re 0.500 0.000 0.000  1.27
Tl 0.500 0.500 0.500  0.05
Mg 0.000 0.000 0.500  -0.01
Sb 0.000 0.000 0.000  -0.02



Entry 9:
## MgScRe (GGA-PBEsol)

Data for crystalline MgScRe at its relaxed geometry.

Values from the calculation:
Calculated volume   21.0 A^3/atom
Crystal system   cubic
DFT total energy   -19.09 eV for the cell shown
Formation enthalpy at 0 K   0.854 eV/atom

Cell: 4.466 4.466 4.466 Å, 60.00 60.00 60.00°
Atoms (fractional coordinates):
Mg 0.500 0.500 0.500
Re 0.250 0.250 0.250
Sc 0.000 0.000 0.000



Entry 10:
## MgScRe2 (GGA-PBEsol)

Data for crystalline MgScRe2 at its relaxed geometry.

Values from the calculation:
Calculated volume   17.4 A^3/atom
Crystal system   tetragonal
DFT total energy   -35.02 eV for the cell shown
Formation enthalpy at 0 K   -0.009 eV/atom

Cell: 3.072 3.072 7.367 Å, 90.00 90.00 90.00°
Atoms (fractional coordinates):
Mg 0.500 0.500 0.786
Re 0.000 0.000 0.027
Re 0.500 0.500 0.220
Sc 0.000 0.000 0.468



Entry 11:
## Mg2ScRe (GGA-PBEsol)

Data for crystalline Mg2ScRe at its relaxed geometry.

Values from the calculation:
Calculated volume   18.0 A^3/atom
Crystal system   tetragonal
DFT total energy   -22.30 eV for the cell shown
Formation enthalpy at 0 K   0.267 eV/atom
Offset from the most stable computed form   0 meV/atom

Cell: 4.001 4.001 4.508 Å, 90.00 90.00 90.00°
Atoms (fractional coordinates):
Mg 0.000 0.500 0.000
Mg 0.500 0.000 0.000
Re 0.500 0.500 0.500
Sc 0.000 0.000 0.500



Entry 12:
## Mg2ScRe (GGA-PBEsol)

Data for crystalline Mg2ScRe at its relaxed geometry.

Values from the calculation:
Calculated volume   18.7 A^3/atom
Crystal system   orthorhombic
DFT total energy   -22.21 eV for the cell shown
Formation enthalpy at 0 K   0.290 eV/atom
Offset from the most stable computed form   23 meV/atom

Cell: 3.150 4.976 5.614 Å, 116.30 106.29 90.00°
Atoms (fractional coordinates):
Mg 0.006 0.006 0.012
Mg 0.771 0.271 0.542
Re 0.502 0.502 0.004
Sc 0.221 0.721 0.441



Number 1: magnetization 0.00 μB per cell. Number 2: magnetization 1.13 μB per cell. Number 3: magnetization 1.65 μB per cell. Number 4: magnetization 0.00 μB per cell. Number 5: magnetization 0.00 μB per cell. Number 6: magnetization 0.00 μB per cell. Number 7: magnetization 0.00 μB per cell. Number 8: magnetization 2.96 μB per cell. Number 9: magnetization 0.00 μB per cell. Number 10: magnetization 0.00 μB per cell. Number 11: magnetization 0.00 μB per cell. Number 12: magnetization 0.00 μB per cell.